{
  "formula": "HfCuTe2",
  "functional": "GGA-PBE",
  "state": "relaxed",
  "raw_formation_energy_ev_per_atom": -0.15,
  "total_energy_ev_per_atom": -5.237,
  "sg": "I-42d",
  "dos_ef_per_ev_cell": 10.25,
  "lattice": [[-0.674, -6.325, 0.084], [5.536, -0.630, -3.069], [5.296, -3.714, 3.724]],
  "species": ["Te", "Te", "Te", "Te", "Cu", "Cu", "Hf", "Hf"],
  "fractional_positions": [[0.375, 0.401, 0.750], [0.875, 0.849, 0.750], [0.151, 0.625, 0.250], [0.599, 0.125, 0.250], [0.250, 0.750, 0.500], [0.500, 0.500, 0.000], [0.000, 0.000, 0.000], [0.750, 0.250, 0.500]]
}